Be2TeOs: relaxed, PBE.

It has space group I4/mmm (No. 139), with a = 3.8024 Å, b = 3.8024 Å, c = 7.6091 Å, α = 90.00°, β = 90.00° and γ = 90.00°. The asymmetric unit holds Be at (0.0000, 0.5000, 0.2500), Te at (0.0000, 0.0000, 0.0000) and Os at (0.0000, 0.0000, 0.5000).

The value obtained for the raw formation energy is 579 meV per atom. The crystal system is tetragonal.


BeTe3Os: relaxed, PBE.

It has space group Pm-3m (No. 221), with a = 5.2457 Å, b = 5.2457 Å, c = 5.2457 Å, α = 90.00°, β = 90.00° and γ = 90.00°. The asymmetric unit holds Be at (0.0000, 0.0000, 0.0000), Te at (0.0000, 0.5000, 0.5000) and Os at (0.5000, 0.5000, 0.5000).

The value obtained for the raw formation energy is 1172 meV per atom. The crystal system is cubic.


BeTe2Os: relaxed, PBE.

It has space group Cmmm (No. 65), with a = 6.2667 Å, b = 7.2300 Å, c = 3.2606 Å, α = 90.00°, β = 90.00° and γ = 90.00°. The asymmetric unit holds Be at (0.0000, 0.0000, 0.0000), Te at (0.2500, 0.2500, 0.5000) and Os at (0.0000, 0.5000, 0.0000).

The value obtained for the raw formation energy is 855 meV per atom. The crystal system is orthorhombic.


BeTe2Os: relaxed, PBE.

It has space group C2/m (No. 12), with a = 5.9777 Å, b = 7.4806 Å, c = 4.7554 Å, α = 90.00°, β = 128.18° and γ = 90.00°. The asymmetric unit holds Be at (0.0000, 0.0000, 0.0000), Te at (0.2500, 0.2500, 0.5000) and Os at (0.0000, 0.5000, 0.0000).

The value obtained for the raw formation energy is 876 meV per atom. The crystal system is monoclinic.


Be2TeOs: relaxed, PBE.

It has space group R-3m (No. 166, hexagonal axes), with a = 2.9928 Å, b = 2.9928 Å, c = 23.8568 Å, α = 90.00°, β = 90.00° and γ = 120.00°. The asymmetric unit holds Be at (0.0000, 0.0000, 0.2322), Te at (0.0000, 0.0000, 0.0000) and Os at (0.0000, 0.0000, 0.5000).

The value obtained for the raw formation energy is 538 meV per atom. The crystal system is trigonal.


Be2TeOs: relaxed, PBE.

It has space group Pm (No. 6), with a = 2.9995 Å, b = 3.5485 Å, c = 6.0224 Å, α = 90.00°, β = 104.39° and γ = 90.00°. The asymmetric unit holds Be at (0.0000, 0.0000, 0.0000), Be at (0.1107, 0.5000, 0.2258), Te at (0.8261, 0.5000, 0.6566) and Os at (0.6438, 0.0000, 0.2910).

The value obtained for the raw formation energy is 233 meV per atom. The crystal system is monoclinic.


BeTe2Os: relaxed, PBE.

It has space group I-42d (No. 122), with a = 5.9371 Å, b = 5.9371 Å, c = 10.8821 Å, α = 90.00°, β = 90.00° and γ = 90.00°. The asymmetric unit holds Be at (0.0000, 0.0000, 0.0000), Te at (0.2293, 0.2500, 0.1250) and Os at (0.0000, 0.0000, 0.5000).

The value obtained for the raw formation energy is 399 meV per atom. The crystal system is tetragonal.


Be2TeOs: relaxed, PBE.

It has space group P4/mmm (No. 123), with a = 3.0846 Å, b = 3.0846 Å, c = 5.9639 Å, α = 90.00°, β = 90.00° and γ = 90.00°. The asymmetric unit holds Be at (0.0000, 0.0000, 0.1707), Te at (0.5000, 0.5000, 0.5000) and Os at (0.5000, 0.5000, 0.0000).

The value obtained for the raw formation energy is 194 meV per atom. The crystal system is tetragonal.


BeTeOs: relaxed, PBE.

It has space group P-6m2 (No. 187), with a = 4.0548 Å, b = 4.0548 Å, c = 3.4014 Å, α = 90.00°, β = 90.00° and γ = 120.00°. The asymmetric unit holds Be at (0.0000, 0.0000, 0.0000), Te at (0.3333, 0.6667, 0.5000) and Os at (0.6667, 0.3333, 0.0000).

The value obtained for the raw formation energy is 610 meV per atom. The crystal system is hexagonal.


BeTe2Os: relaxed, PBE.

It has space group F-43m (No. 216), with a = 6.7284 Å, b = 6.7284 Å, c = 6.7284 Å, α = 90.00°, β = 90.00° and γ = 90.00°. The asymmetric unit holds Be at (0.0000, 0.0000, 0.0000), Te at (0.0000, 0.0000, 0.5000), Te at (0.2500, 0.2500, 0.7500) and Os at (0.2500, 0.2500, 0.2500).

The value obtained for the raw formation energy is 1185 meV per atom. The crystal system is cubic.


Be2TeOs: relaxed, PBE.

It has space group R3m (No. 160, hexagonal axes), with a = 3.9328 Å, b = 3.9328 Å, c = 13.7518 Å, α = 90.00°, β = 90.00° and γ = 120.00°. The asymmetric unit holds Be at (0.0000, 0.0000, 0.0000), Be at (0.0000, 0.0000, 0.3129), Te at (0.0000, 0.0000, 0.8129) and Os at (0.0000, 0.0000, 0.6113).

The value obtained for the raw formation energy is 241 meV per atom. The crystal system is trigonal.


BeTeOs: relaxed, PBE.

It has space group Fmm2 (No. 42), with a = 3.2473 Å, b = 4.9518 Å, c = 12.4029 Å, α = 90.00°, β = 90.00° and γ = 90.00°. The asymmetric unit holds Be at (0.0000, 0.0000, 0.0000), Te at (0.0000, 0.0000, 0.6847) and Os at (0.0000, 0.0000, 0.3778).

The value obtained for the raw formation energy is 850 meV per atom. The crystal system is orthorhombic.


BeTe2Os: relaxed, PBE.

It has space group Pm (No. 6), with a = 4.4260 Å, b = 4.4211 Å, c = 4.4261 Å, α = 90.00°, β = 110.68° and γ = 90.00°. The asymmetric unit holds Be at (0.0000, 0.0000, 0.0000), Te at (0.3540, 0.0000, 0.6488), Te at (0.7775, 0.5000, 0.2249) and Os at (0.1412, 0.5000, 0.8608).

The value obtained for the raw formation energy is 331 meV per atom. The crystal system is monoclinic.


Be2TeOs: relaxed, PBE.

It has space group C2/m (No. 12), with a = 7.9643 Å, b = 3.3786 Å, c = 4.6189 Å, α = 90.00°, β = 93.20° and γ = 90.00°. The asymmetric unit holds Be at (0.2040, 0.0000, 0.1007), Te at (0.0000, 0.0000, 0.5000) and Os at (0.0000, 0.5000, 0.0000).

The value obtained for the raw formation energy is 357 meV per atom. The crystal system is monoclinic.


BeTeOs4: relaxed, PBE.

It has space group F-43m (No. 216), with a = 7.3806 Å, b = 7.3806 Å, c = 7.3806 Å, α = 90.00°, β = 90.00° and γ = 90.00°. The asymmetric unit holds Be at (0.0000, 0.0000, 0.0000), Te at (0.2500, 0.2500, 0.7500) and Os at (0.1253, 0.1253, 0.3747).

The value obtained for the raw formation energy is 1066 meV per atom. The crystal system is cubic.


BeTe2Os: relaxed, PBE.

It has space group Cmm2 (No. 35), with a = 4.5129 Å, b = 4.5230 Å, c = 7.9523 Å, α = 90.00°, β = 90.00° and γ = 90.00°. The asymmetric unit holds Be at (0.0000, 0.0000, 0.0000), Te at (0.0000, 0.0000, 0.3396), Te at (0.0000, 0.5000, 0.7770) and Os at (0.0000, 0.5000, 0.1125).

The value obtained for the raw formation energy is 268 meV per atom. The crystal system is orthorhombic.


Be2TeOs: relaxed, PBE.

It has space group I-42d (No. 122), with a = 5.6727 Å, b = 5.6727 Å, c = 9.4178 Å, α = 90.00°, β = 90.00° and γ = 90.00°. The asymmetric unit holds Be at (0.2225, 0.2500, 0.1250), Te at (0.0000, 0.0000, 0.5000) and Os at (0.0000, 0.0000, 0.0000).

The value obtained for the raw formation energy is 949 meV per atom. The crystal system is tetragonal.


Be3TeOs: relaxed, PBE.

It has space group Pm-3m (No. 221), with a = 4.3130 Å, b = 4.3130 Å, c = 4.3130 Å, α = 90.00°, β = 90.00° and γ = 90.00°. The asymmetric unit holds Be at (0.0000, 0.0000, 0.5000), Te at (0.5000, 0.5000, 0.5000) and Os at (0.0000, 0.0000, 0.0000).

The value obtained for the raw formation energy is 736 meV per atom. The crystal system is cubic.


BeTeOs: relaxed, PBE.

It has space group I4mm (No. 107), with a = 3.1689 Å, b = 3.1689 Å, c = 9.5677 Å, α = 90.00°, β = 90.00° and γ = 90.00°. The asymmetric unit holds Be at (0.0000, 0.0000, 0.0000), Te at (0.0000, 0.0000, 0.2912) and Os at (0.0000, 0.0000, 0.5799).

The value obtained for the raw formation energy is 540 meV per atom. The crystal system is tetragonal.


Be2TeOs: relaxed, PBE.

It has space group Pmmm (No. 47), with a = 2.9385 Å, b = 2.9654 Å, c = 7.4141 Å, α = 90.00°, β = 90.00° and γ = 90.00°. The asymmetric unit holds Be at (0.0000, 0.0000, 0.1483), Te at (0.5000, 0.0000, 0.5000) and Os at (0.5000, 0.5000, 0.0000).

The value obtained for the raw formation energy is 241 meV per atom. The crystal system is orthorhombic.


BeTeOs: relaxed, PBE.

It has space group F-43m (No. 216), with a = 5.9796 Å, b = 5.9796 Å, c = 5.9796 Å, α = 90.00°, β = 90.00° and γ = 90.00°. The asymmetric unit holds Be at (0.0000, 0.0000, 0.0000), Te at (0.0000, 0.0000, 0.5000) and Os at (0.2500, 0.2500, 0.2500).

The value obtained for the raw formation energy is 495 meV per atom. The crystal system is cubic.


Be2TeOs: relaxed, PBE.

It has space group P4/mmm (No. 123), with a = 4.1394 Å, b = 4.1394 Å, c = 3.1774 Å, α = 90.00°, β = 90.00° and γ = 90.00°. The asymmetric unit holds Be at (0.0000, 0.5000, 0.0000), Te at (0.0000, 0.0000, 0.5000) and Os at (0.5000, 0.5000, 0.5000).

The value obtained for the raw formation energy is 538 meV per atom. The crystal system is tetragonal.


BeTe2Os: relaxed, PBE.

It has space group R-3m (No. 166, hexagonal axes), with a = 4.1382 Å, b = 4.1382 Å, c = 21.3210 Å, α = 90.00°, β = 90.00° and γ = 120.00°. The asymmetric unit holds Be at (0.0000, 0.0000, 0.0000), Te at (0.0000, 0.0000, 0.1083) and Os at (0.0000, 0.0000, 0.5000).

The value obtained for the raw formation energy is 493 meV per atom. The crystal system is trigonal.


BeTeOs: relaxed, PBE.

It has space group P3m1 (No. 156), with a = 3.1315 Å, b = 3.1315 Å, c = 5.7623 Å, α = 90.00°, β = 90.00° and γ = 120.00°. The asymmetric unit holds Be at (0.0000, 0.0000, 0.0000), Te at (0.3333, 0.6667, 0.6201) and Os at (0.6667, 0.3333, 0.2685).

The value obtained for the raw formation energy is 573 meV per atom. The crystal system is trigonal.


BeTe2Os: relaxed, PBE.

It has space group P2/m (No. 10), with a = 4.8250 Å, b = 3.8002 Å, c = 4.9230 Å, α = 90.00°, β = 106.65° and γ = 90.00°. The asymmetric unit holds Be at (0.0000, 0.0000, 0.0000), Te at (0.2704, 0.5000, 0.7322) and Os at (0.5000, 0.0000, 0.5000).

The value obtained for the raw formation energy is 817 meV per atom. The crystal system is monoclinic.


Be2TeOs: relaxed, PBE.

It has space group I-4m2 (No. 119), with a = 3.8315 Å, b = 3.8315 Å, c = 7.5539 Å, α = 90.00°, β = 90.00° and γ = 90.00°. The asymmetric unit holds Be at (0.0000, 0.0000, 0.0000), Be at (0.0000, 0.5000, 0.2500), Te at (0.0000, 0.0000, 0.5000) and Os at (0.0000, 0.5000, 0.7500).

The value obtained for the raw formation energy is 589 meV per atom. The crystal system is tetragonal.


BeTe2Os: relaxed, PBE.

It has space group P4/mmm (No. 123), with a = 3.2404 Å, b = 3.2404 Å, c = 7.0404 Å, α = 90.00°, β = 90.00° and γ = 90.00°. The asymmetric unit holds Be at (0.0000, 0.0000, 0.0000), Te at (0.5000, 0.5000, 0.2524) and Os at (0.0000, 0.0000, 0.5000).

The value obtained for the raw formation energy is 817 meV per atom. The crystal system is tetragonal.


Be2TeOs: relaxed, PBE.

It has space group F-43m (No. 216), with a = 6.1235 Å, b = 6.1235 Å, c = 6.1235 Å, α = 90.00°, β = 90.00° and γ = 90.00°. The asymmetric unit holds Be at (0.0000, 0.0000, 0.0000), Be at (0.2500, 0.2500, 0.2500), Te at (0.2500, 0.2500, 0.7500) and Os at (0.0000, 0.0000, 0.5000).

The value obtained for the raw formation energy is 736 meV per atom. The crystal system is cubic.


Be2TeOs: relaxed, PBE.

It has space group Cm (No. 8), with a = 7.6580 Å, b = 3.0870 Å, c = 5.5730 Å, α = 90.00°, β = 93.55° and γ = 90.00°. The asymmetric unit holds Be at (0.0000, 0.0000, 0.0000), Be at (0.1974, 0.5000, 0.8582), Te at (0.1049, 0.5000, 0.4208) and Os at (0.2934, 0.0000, 0.1350).

The value obtained for the raw formation energy is 171 meV per atom. The crystal system is monoclinic.


Be2TeOs: relaxed, PBE.

It has space group P4mm (No. 99), with a = 3.1213 Å, b = 3.1213 Å, c = 5.9421 Å, α = 90.00°, β = 90.00° and γ = 90.00°. The asymmetric unit holds Be at (0.0000, 0.0000, 0.0000), Be at (0.5000, 0.5000, 0.2054), Te at (0.5000, 0.5000, 0.7012) and Os at (0.0000, 0.0000, 0.3636).

The value obtained for the raw formation energy is 463 meV per atom. The crystal system is tetragonal.